# LaHo3Er5 PBE optimized geometry
data_LaHo3Er5
_space_group_name_H-M_alt 'C 1 2/m 1'
_space_group_IT_number 12
_space_group_name_Hall '-C 2y'
_cell_length_a 16.9082
_cell_length_b 7.9350
_cell_length_c 12.1277
_cell_angle_alpha 90.00
_cell_angle_beta 130.63
_cell_angle_gamma 90.00
loop_
_atom_site_label
_atom_site_type_symbol
_atom_site_fract_x
_atom_site_fract_y
_atom_site_fract_z
La1 La 0.2377 0.0000 0.1374
Ho1 Ho 0.0000 0.0000 0.0000
Ho2 Ho 0.0000 0.5000 0.5000
Ho3 Ho 0.1209 0.5000 0.3175
Ho4 Ho 0.1652 0.0000 0.3397
Er1 Er 0.0000 0.3220 0.0000
Er2 Er 0.0648 0.2066 0.7807
Er3 Er 0.1222 0.0000 0.5680
Er4 Er 0.2005 0.5000 0.0712
# Formation energy ... 0.422 eV/atom
# Crystal system ... monoclinic